DFT (GGA-PBE) results for an optimized crystal structure of LiMgZnCd2. Values from VASP.

- E (eV/atom) = -1.406
- ρ (g cm⁻³) = 5.372
- density of states at the Fermi level (states/eV/f.u.) = 1.23
- total magnetic moment (μB per cell) = 0.00
- space-group type = Pmma (51)
- ΔH_f (0 K) (meV/atom) = -84

```
&SYSTEM
  ibrav = 0, nat = 10, ntyp = 4
/
ATOMIC_SPECIES
Li 6.94 Li.upf
Mg 24.30 Mg.upf
Zn 65.41 Zn.upf
Cd 112.41 Cd.upf
CELL_PARAMETERS angstrom
6.764 0.000 0.000
0.000 5.018 0.000
0.000 0.000 5.855
ATOMIC_POSITIONS crystal
Li 0.658 0.750 0.000
Li 0.342 0.250 0.000
Mg 0.149 0.250 0.500
Mg 0.851 0.750 0.500
Zn 0.000 0.000 0.000
Zn 0.000 0.500 0.000
Cd 0.681 0.250 0.740
Cd 0.681 0.250 0.260
Cd 0.319 0.750 0.740
Cd 0.319 0.750 0.260
```